Density functional theory data (GGA-PBE) for crystalline ZrVS2N at its relaxed geometry.

Cell and atoms, written as POSCAR:
```
ZrVS2N
1.0
5.027 0.000 0.000
0.000 5.027 0.000
0.000 0.000 4.015
N S Zr V
1 2 1 1
Cartesian
0.000 0.000 2.007
0.000 2.514 0.000
2.514 0.000 0.000
0.000 0.000 0.000
2.514 2.514 2.007
```

Calculated values
Crystal system: tetragonal
Excess energy over the best structure of this formula in the dataset, eV/atom: 0.746
N(E_F), states/eV/f.u.: 4.79
Formation energy without anion corrections, meV/atom: 251